# 1
20
Lattice="9.926 0.000 0.000 0.000 9.926 0.000 0.000 0.000 3.632" Properties=species:S:1:pos:R:3 comment="UPa2Al2Os5 PBE relaxed" m_tot_mub_per_fu=0.00 rho_g_cm3=15.826 formation_enthalpy_0k_mev_per_atom=-260.2 final_energy_ev_per_atom=-9.65 pbc="T T T"
U 0.000 0.000 0.000
U 4.963 4.963 0.000
Pa 1.700 3.263 0.000
Pa 3.263 8.227 0.000
Pa 6.663 1.700 0.000
Pa 8.227 6.663 0.000
Al 1.235 6.199 0.000
Al 3.728 1.235 0.000
Al 6.199 8.691 0.000
Al 8.691 3.728 0.000
Os 0.000 4.963 1.816
Os 0.729 7.891 1.816
Os 2.035 0.729 1.816
Os 2.928 5.692 1.816
Os 4.234 2.928 1.816
Os 4.963 0.000 1.816
Os 5.692 6.998 1.816
Os 6.998 4.234 1.816
Os 7.891 9.197 1.816
Os 9.197 2.035 1.816

---

# 2
4
Lattice="0.000 3.314 3.314 3.314 0.000 3.314 3.314 3.314 0.000" Properties=species:S:1:pos:R:3 comment="PaAlZnOs PBE relaxed" m_tot_mub_per_fu=0.00 rho_g_cm3=11.717 formation_enthalpy_0k_mev_per_atom=-143.6 final_energy_ev_per_atom=-6.58 pbc="T T T"
Pa 0.000 0.000 0.000
Al 3.314 3.314 3.314
Zn 4.971 4.971 4.971
Os 1.657 1.657 1.657

---

# 3
6
Lattice="0.000 3.736 3.736 3.736 0.000 3.736 3.736 3.736 0.000" Properties=species:S:1:pos:R:3 comment="Al4OsPb PBE relaxed" m_tot_mub_per_fu=0.00 rho_g_cm3=8.045 formation_enthalpy_0k_mev_per_atom=404.5 final_energy_ev_per_atom=-4.58 pbc="T T T"
Al 0.926 0.926 0.926
Al 2.811 2.811 0.926
Al 2.811 0.926 2.811
Al 0.926 2.811 2.811
Os 5.604 5.604 5.604
Pb 3.736 3.736 3.736

---

# 4
3
Lattice="3.187 0.000 0.000 -1.594 2.760 0.000 0.000 0.000 6.579" Properties=species:S:1:pos:R:3 comment="AlOsPb PBE relaxed" m_tot_mub_per_fu=0.00 rho_g_cm3=12.177 formation_enthalpy_0k_mev_per_atom=395.0 final_energy_ev_per_atom=-5.83 de_polymorph_mev_per_atom=105 pbc="T T T"
Al 0.000 0.000 0.000
Os 0.000 1.840 1.705
Pb 1.594 0.920 3.935

---

# 5
5
Lattice="4.916 0.000 0.000 0.000 4.916 0.000 0.000 0.000 4.916" Properties=species:S:1:pos:R:3 comment="AlOs3Pb PBE relaxed" m_tot_mub_per_fu=2.62 rho_g_cm3=11.248 formation_enthalpy_0k_mev_per_atom=3001.4 final_energy_ev_per_atom=-5.23 de_polymorph_mev_per_atom=1446 pbc="T T T"
Al 0.000 0.000 0.000
Os 0.000 2.458 2.458
Os 2.458 0.000 2.458
Os 2.458 2.458 0.000
Pb 2.458 2.458 2.458

---

# 6
3
Lattice="0.000 2.563 6.937 1.669 0.000 6.937 1.669 2.563 0.000" Properties=species:S:1:pos:R:3 comment="AlOsPb PBE relaxed" m_tot_mub_per_fu=0.00 rho_g_cm3=11.875 formation_enthalpy_0k_mev_per_atom=620.9 final_energy_ev_per_atom=-5.61 de_polymorph_mev_per_atom=331 pbc="T T T"
Al 0.000 0.000 0.000
Os 1.669 2.563 8.710
Pb 1.669 2.563 4.163

---

# 7
3
Lattice="0.000 3.152 3.152 3.152 0.000 3.152 3.152 3.152 0.000" Properties=species:S:1:pos:R:3 comment="AlOsPb PBE relaxed" m_tot_mub_per_fu=0.00 rho_g_cm3=11.252 formation_enthalpy_0k_mev_per_atom=415.4 final_energy_ev_per_atom=-5.81 de_polymorph_mev_per_atom=126 pbc="T T T"
Al 0.000 0.000 0.000
Os 1.576 1.576 1.576
Pb 3.152 3.152 3.152

---

# 8
3
Lattice="4.360 0.000 0.000 -2.180 3.776 0.000 0.000 0.000 3.539" Properties=species:S:1:pos:R:3 comment="AlOsPb PBE relaxed" m_tot_mub_per_fu=0.00 rho_g_cm3=12.098 formation_enthalpy_0k_mev_per_atom=500.4 final_energy_ev_per_atom=-5.73 de_polymorph_mev_per_atom=211 pbc="T T T"
Al 0.000 0.000 0.000
Os 2.180 1.259 0.000
Pb 0.000 2.517 1.769

---

# 9
6
Lattice="0.000 4.375 4.375 4.375 0.000 4.375 4.375 4.375 0.000" Properties=species:S:1:pos:R:3 comment="AlOsPb4 PBE relaxed" m_tot_mub_per_fu=0.00 rho_g_cm3=10.371 formation_enthalpy_0k_mev_per_atom=1178.1 final_energy_ev_per_atom=-3.79 pbc="T T T"
Al 0.000 0.000 0.000
Os 6.562 6.562 6.562
Pb 3.289 3.289 3.289
Pb 5.461 5.461 3.289
Pb 5.461 3.289 5.461
Pb 3.289 5.461 5.461

---

# 10
5
Lattice="5.287 0.000 0.000 0.000 5.287 0.000 0.000 0.000 5.287" Properties=species:S:1:pos:R:3 comment="AlOsPb3 PBE relaxed" m_tot_mub_per_fu=2.19 rho_g_cm3=9.426 formation_enthalpy_0k_mev_per_atom=1477.1 final_energy_ev_per_atom=-3.74 de_polymorph_mev_per_atom=791 pbc="T T T"
Al 0.000 0.000 0.000
Os 2.643 2.643 2.643
Pb 0.000 0.000 2.643
Pb 0.000 2.643 0.000
Pb 2.643 0.000 0.000

---

# 11
5
Lattice="4.514 0.000 0.000 0.000 4.514 0.000 0.000 0.000 4.514" Properties=species:S:1:pos:R:3 comment="AlOs3Pb PBE relaxed" m_tot_mub_per_fu=0.75 rho_g_cm3=14.528 formation_enthalpy_0k_mev_per_atom=1554.9 final_energy_ev_per_atom=-6.67 de_polymorph_mev_per_atom=0 pbc="T T T"
Al 0.000 0.000 0.000
Os 0.000 0.000 2.257
Os 0.000 2.257 0.000
Os 2.257 0.000 0.000
Pb 2.257 2.257 2.257

---

# 12
3
Lattice="-1.587 1.587 6.325 1.587 -1.587 6.325 1.587 1.587 -6.325" Properties=species:S:1:pos:R:3 comment="AlOsPb PBE relaxed" m_tot_mub_per_fu=0.00 rho_g_cm3=11.061 formation_enthalpy_0k_mev_per_atom=289.6 final_energy_ev_per_atom=-5.94 de_polymorph_mev_per_atom=0 pbc="T T T"
Al 0.000 0.000 0.000
Os 0.000 0.000 7.454
Pb 0.000 0.000 3.152